This record from the Alexandria database describes Ca2GaSn at its PBEsol-relaxed geometry. The functional is meta-GGA SCAN.

Unit cell a=4.3066 b=4.5262 c=11.2646 alpha=90.00 beta=90.00 gamma=90.00
Closest atoms and distances in Å follow each position.
Space group Amm2 (No. 38)
Symmetry-distinct sites (fractional):
Ca  0.0000  0.0000  0.0000  4 Ga 3.20, 3 Sn 3.24-3.29
Ca  0.5000  0.0000  0.2795  3 Ga 3.17-3.35, 4 Sn 3.21
Ga  0.5000  0.0000  0.5608  2 Sn 2.75
Sn  0.0000  0.0000  0.7121  2 Ga 2.75

crystal system: orthorhombic
calculated total energy: -18.566 eV/atom
ΔE_f: -668 meV/atom
polymorph energy (0 for the lowest one): 0.000 eV/atom

=====

This record from the Alexandria database describes Ca2GaSn2 at its PBEsol-relaxed geometry. The functional is meta-GGA SCAN.

Unit cell a=7.4399 b=7.4399 c=4.7614 alpha=90.00 beta=90.00 gamma=90.00
Closest atoms and distances in Å follow each position.
Space group P4/mbm (No. 127)
Symmetry-distinct sites (fractional):
Ca  0.1688  0.3312  0.0000  6 Sn 3.13-3.31
Ga  0.0000  0.0000  0.5000  4 Sn 2.88
Sn  0.1385  0.6385  0.5000  2 Ga 2.88, 1 Sn 2.92, 2 Ca 3.13

crystal system: tetragonal
calculated total energy: -22.040 eV/atom
ΔE_f: -537 meV/atom

=====

This record from the Alexandria database describes Ca2Ga2Sn at its PBEsol-relaxed geometry. The functional is meta-GGA SCAN.

Unit cell a=7.1997 b=7.1997 c=4.6131 alpha=90.00 beta=90.00 gamma=90.00
Closest atoms and distances in Å follow each position.
Space group P4/mbm (No. 127)
Symmetry-distinct sites (fractional):
Ca  0.1760  0.3240  0.0000  6 Ga 3.08-3.18
Ga  0.1231  0.6231  0.5000  1 Ga 2.51
Sn  0.0000  0.0000  0.5000  4 Ga 2.85

crystal system: tetragonal
calculated total energy: -18.146 eV/atom
ΔE_f: -558 meV/atom

=====

Please write out number 1 again, unchanged.
This record from the Alexandria database describes Ca2GaSn at its PBEsol-relaxed geometry. The functional is meta-GGA SCAN.

Unit cell a=4.3066 b=4.5262 c=11.2646 alpha=90.00 beta=90.00 gamma=90.00
Closest atoms and distances in Å follow each position.
Space group Amm2 (No. 38)
Symmetry-distinct sites (fractional):
Ca  0.0000  0.0000  0.0000  4 Ga 3.20, 3 Sn 3.24-3.29
Ca  0.5000  0.0000  0.2795  3 Ga 3.17-3.35, 4 Sn 3.21
Ga  0.5000  0.0000  0.5608  2 Sn 2.75
Sn  0.0000  0.0000  0.7121  2 Ga 2.75

crystal system: orthorhombic
calculated total energy: -18.566 eV/atom
ΔE_f: -668 meV/atom
polymorph energy (0 for the lowest one): 0.000 eV/atom